A relaxed AlSbBr2 crystal. Source: Alexandria via LeMat-Bulk, functional GGA-PBEsol.

Unit cell a=3.5601 b=3.5601 c=9.3376 alpha=90.00 beta=90.00 gamma=119.82
With the nearest neighbours (Å) after each atom.
Element x y z (fractional)
Al1 0.0000 0.0000 0.0000  2 Br 2.55
Sb1 0.5000 0.5000 0.7527  2 Br 2.87, 2 Al 2.92
Br1 0.0000 0.0000 0.5120  2 Sb 2.87
Br2 0.5000 0.5000 0.1951  2 Al 2.55

Results
formation energy from raw total energies = -0.11 eV/atom
energy above the most stable polymorph in this dataset = 0.0 meV/atom
theoretical density = 5.0 g cm⁻³